1.
VASP calculation (GGA-PBE) on crystalline Cs2HgRhN at its relaxed geometry.

Output
DOS(E_F)	3.2	states/eV/f.u.
formation energy (no corrections)	0.014	eV per atom

a = 6.6284 Å, b = 6.6284 Å, c = 3.7677 Å
α = 90.00°, β = 90.00°, γ = 90.00°
Space group P4/mmm (No. 123)
Unique sites:
Cs1 0.0000 0.5000 0.0000
Hg1 0.0000 0.0000 0.5000
Rh1 0.5000 0.5000 0.5000
N1 0.5000 0.5000 0.0000

---

2.
VASP calculation (GGA-PBE) on crystalline ZnCu6Ni2 at its relaxed geometry.

Output
DOS(E_F)	4.1	states/eV/f.u.
energy of formation	0.0168	eV per atom
polymorph energy (0 for the lowest one)	0.0	meV per atom

a = 9.3137 Å, b = 8.5732 Å, c = 6.6400 Å
α = 90.00°, β = 125.62°, γ = 90.00°
Space group C2/c (No. 15)
Unique sites:
Zn1 0.0000 0.1353 0.2500
Cu1 0.0532 0.3757 0.9717
Cu2 0.1125 0.1187 0.6976
Cu3 0.2263 0.1298 0.1429
Ni1 0.1684 0.3790 0.4161

---

3.
VASP calculation (GGA-PBE) on crystalline Sr3GaN at its relaxed geometry.

Output
DOS(E_F)	3.1	states/eV/f.u.
formation energy (no corrections)	-0.291	eV per atom

a = 12.4004 Å, b = 7.1100 Å, c = 8.0900 Å
α = 90.00°, β = 123.06°, γ = 90.00°
Space group C2/m (No. 12)
Unique sites:
Sr1 0.0826 0.0000 0.2362
Sr2 0.1719 0.2526 0.7648
Ga1 0.1130 0.5000 0.3250
N1 0.1660 0.0000 0.9990

---

4.
VASP calculation (GGA-PBE) on crystalline RbNpHgO6 at its relaxed geometry.

Output
DOS(E_F)	2.4	states/eV/f.u.
formation energy (no corrections)	-1.407	eV per atom

a = 5.6923 Å, b = 5.6923 Å, c = 6.3736 Å
α = 90.00°, β = 90.00°, γ = 120.00°
Space group P312 (No. 149)
Unique sites:
Rb1 0.0000 0.0000 0.0000
Np1 0.3333 0.6667 0.5000
Hg1 0.6667 0.3333 0.5000
O1 0.0345 0.3924 0.3145

---

5.
VASP calculation (GGA-PBE) on crystalline Nd4SmAg at its relaxed geometry.

Output
DOS(E_F)	9.4	states/eV/f.u.
energy of formation	-0.0660	eV per atom
polymorph energy (0 for the lowest one)	0.0	meV per atom

a = 3.6909 Å, b = 3.6909 Å, c = 14.2322 Å
α = 90.00°, β = 90.00°, γ = 90.00°
Space group P4/mmm (No. 123)
Unique sites:
Nd1 0.0000 0.0000 0.1366
Nd2 0.5000 0.5000 0.3208
Sm1 0.0000 0.0000 0.5000
Ag1 0.5000 0.5000 0.0000

---

6.
VASP calculation (GGA-PBE) on crystalline Pr4TlGaAg2 at its relaxed geometry.

Output
DOS(E_F)	8.4	states/eV/f.u.
energy of formation	-0.3567	eV per atom

a = 5.3890 Å, b = 5.3890 Å, c = 26.4541 Å
α = 90.00°, β = 90.00°, γ = 120.00°
Space group R-3m (No. 166, hexagonal axes)
Unique sites:
Pr1 0.0000 0.0000 0.1202
Pr2 0.0000 0.0000 0.3705
Tl1 0.0000 0.0000 0.5000
Ga1 0.0000 0.0000 0.0000
Ag1 0.0000 0.0000 0.2458

---

Q: Among the records above, which one has the lowest DOS(E_F)?
A: RbNpHgO6

---

Repeat the third record exactly.
VASP calculation (GGA-PBE) on crystalline Sr3GaN at its relaxed geometry.

Output
DOS(E_F)	3.1	states/eV/f.u.
formation energy (no corrections)	-0.291	eV per atom

a = 12.4004 Å, b = 7.1100 Å, c = 8.0900 Å
α = 90.00°, β = 123.06°, γ = 90.00°
Space group C2/m (No. 12)
Unique sites:
Sr1 0.0826 0.0000 0.2362
Sr2 0.1719 0.2526 0.7648
Ga1 0.1130 0.5000 0.3250
N1 0.1660 0.0000 0.9990